# 1
# TmZrAlTl | the Alexandria database | GGA-PBE | optimized geometry
data_TmZrAlTl
_cell_length_a 7.156
_cell_length_b 7.156
_cell_length_c 7.156
_cell_angle_alpha 90.00
_cell_angle_beta 90.00
_cell_angle_gamma 90.00
_space_group_name_H-M_alt 'F -4 3 m'
_space_group_IT_number 216
_space_group_name_Hall 'F -4 2 3'
loop_
_atom_site_label
_atom_site_type_symbol
_atom_site_fract_x
_atom_site_fract_y
_atom_site_fract_z
Tm1 Tm 0.000 0.000 0.000
Zr1 Zr 0.000 0.000 0.500
Al1 Al 0.250 0.250 0.250
Tl1 Tl 0.250 0.250 0.750
# Fermi-level density of states in states/eV per atom: 0.826
# Formation energy in eV/atom: -0.15
# Raw total energy in eV per atom: -4.931



# 2
# AlTl3V | the Alexandria database | GGA-PBE | optimized geometry
data_AlTl3V
_cell_length_a 5.293
_cell_length_b 5.293
_cell_length_c 5.293
_cell_angle_alpha 90.00
_cell_angle_beta 90.00
_cell_angle_gamma 90.00
_space_group_name_H-M_alt 'P m -3 m'
_space_group_IT_number 221
_space_group_name_Hall '-P 4 2 3'
loop_
_atom_site_label
_atom_site_type_symbol
_atom_site_fract_x
_atom_site_fract_y
_atom_site_fract_z
Al1 Al 0.000 0.000 0.000
Tl1 Tl 0.000 0.500 0.500
V1 V 0.500 0.500 0.500
# Fermi-level density of states in states/eV per atom: 0.883
# Formation energy in eV/atom: 0.70
# Raw total energy in eV per atom: -3.292
# Energy relative to the lowest polymorph listed for this composition in eV per formula unit: 0.000



# 3
# AlTlV2 | the Alexandria database | GGA-PBE | optimized geometry
data_AlTlV2
_cell_length_a 7.205
_cell_length_b 7.205
_cell_length_c 5.476
_cell_angle_alpha 90.00
_cell_angle_beta 90.00
_cell_angle_gamma 90.00
_space_group_name_H-M_alt 'I -4 2 d'
_space_group_IT_number 122
_space_group_name_Hall 'I -4 2bw'
loop_
_atom_site_label
_atom_site_type_symbol
_atom_site_fract_x
_atom_site_fract_y
_atom_site_fract_z
Al1 Al 0.000 0.000 0.000
Tl1 Tl 0.000 0.000 0.500
V1 V 0.236 0.250 0.125
# Fermi-level density of states in states/eV per atom: 0.643
# Formation energy in eV/atom: 0.66
# Raw total energy in eV per atom: -5.422



# 4
# AlTl3V | the Alexandria database | GGA-PBE | optimized geometry
data_AlTl3V
_cell_length_a 5.338
_cell_length_b 5.338
_cell_length_c 5.338
_cell_angle_alpha 90.00
_cell_angle_beta 90.00
_cell_angle_gamma 90.00
_space_group_name_H-M_alt 'P m -3 m'
_space_group_IT_number 221
_space_group_name_Hall '-P 4 2 3'
loop_
_atom_site_label
_atom_site_type_symbol
_atom_site_fract_x
_atom_site_fract_y
_atom_site_fract_z
Al1 Al 0.000 0.000 0.000
Tl1 Tl 0.000 0.000 0.500
V1 V 0.500 0.500 0.500
# Fermi-level density of states in states/eV per atom: 2.070
# Formation energy in eV/atom: 0.90
# Raw total energy in eV per atom: -3.092
# Energy relative to the lowest polymorph listed for this composition in eV per formula unit: 0.998